Below is crystalline Li7CoO6 at its relaxed geometry, with properties calculated at the PBE+U level.

Properties
E	-4.959	eV per atom

Unit cell a=5.4317 b=5.4376 c=5.5337 alpha=60.67 beta=119.33 gamma=120.01
Closest atoms and distances in Å follow each position.
Fractional coordinates of all 14 atoms:
Co 0.9993 0.0015 0.9967  6 O 1.87-1.93
Li 0.3418 0.6572 0.0263  3 O 2.03
Li 0.7627 0.4981 0.3174  4 O 1.87-2.03
Li 0.0528 0.2380 0.3174  4 O 1.87-2.03
Li 0.5022 0.9467 0.3184  4 O 1.87-2.03
Li 0.2779 0.4839 0.6748  4 O 1.87-2.02
Li 0.5165 0.1191 0.6752  4 O 1.87-2.02
Li 0.8806 0.7212 0.6761  4 O 1.87-2.03
O 0.3497 0.2319 0.2333  5 Li 1.87-2.03, 1 Co 1.92
O 0.7684 0.8848 0.2334  5 Li 1.87-2.03, 1 Co 1.92
O 0.1162 0.6498 0.2338  5 Li 1.87-2.03, 1 Co 1.93
O 0.9268 0.3662 0.7617  4 Li 1.87-2.03, 1 Co 1.88
O 0.2010 0.0731 0.7627  1 Co 1.87, 4 Li 1.87-2.03
O 0.6340 0.7985 0.7628  4 Li 1.87-2.03, 1 Co 1.88